## one
WS (GGA-PBE, relaxed); SG = F-43m; D(E_F) = 0.897 states/eV per atom; magnetization = 0.0 μB/cell
1.0
5.338 0.000 0.000
0.000 5.338 0.000
0.000 0.000 5.338
W S
4 4
Direct
0.000 0.000 0.000
0.000 0.500 0.500
0.500 0.000 0.500
0.500 0.500 0.000
0.250 0.250 0.250
0.250 0.750 0.750
0.750 0.250 0.750
0.750 0.750 0.250

***

## two
WS (GGA-PBE, relaxed); SG = Fddd; D(E_F) = 0.468 states/eV per atom; magnetization = 0.0 μB/cell
1.0
-4.636 5.990 -0.135
-3.956 -2.858 9.038
5.643 4.456 3.879
W S
16 16
Direct
0.000 0.625 0.000
0.000 0.375 0.000
0.250 0.125 0.250
0.250 0.375 0.250
0.000 0.125 0.500
0.000 0.875 0.500
0.250 0.625 0.750
0.250 0.875 0.750
0.500 0.625 0.500
0.500 0.375 0.500
0.750 0.125 0.750
0.750 0.375 0.750
0.500 0.125 0.000
0.500 0.875 0.000
0.750 0.625 0.250
0.750 0.875 0.250
0.232 0.000 0.000
0.768 0.000 0.000
0.018 0.750 0.250
0.482 0.750 0.250
0.232 0.500 0.500
0.768 0.500 0.500
0.018 0.250 0.750
0.482 0.250 0.750
0.732 0.000 0.500
0.268 0.000 0.500
0.518 0.750 0.750
0.982 0.750 0.750
0.732 0.500 0.000
0.268 0.500 0.000
0.518 0.250 0.250
0.982 0.250 0.250

***

Of them, one has the lowest stability.

***

## one
WS (GGA-PBE, relaxed); SG = P2_12_12_1; D(E_F) = 0.373 states/eV per atom; magnetization = 0.0 μB/cell
1.0
-3.998 1.179 -4.509
1.153 -5.134 -2.365
-6.194 -3.499 4.577
W S
8 8
Direct
0.680 0.175 0.989
0.180 0.325 0.011
0.320 0.675 0.511
0.820 0.825 0.489
0.348 0.984 0.809
0.848 0.516 0.191
0.652 0.484 0.691
0.152 0.016 0.309
0.366 0.974 0.082
0.866 0.526 0.918
0.634 0.474 0.418
0.134 0.026 0.582
0.320 0.575 0.805
0.820 0.925 0.195
0.680 0.075 0.695
0.180 0.425 0.305

***

## two
WS (GGA-PBE, relaxed); SG = P6_3mc; D(E_F) = 1.028 states/eV per atom; magnetization = 0.0 μB/cell
1.0
3.786 0.000 0.000
-1.893 3.279 0.000
0.000 0.000 6.142
W S
2 2
Direct
0.333 0.667 0.729
0.667 0.333 0.229
0.333 0.667 0.353
0.667 0.333 0.853

***

Of them, two has the lowest stability.

***

## one
WS (GGA-PBE, relaxed); SG = I-43m; D(E_F) = 0.654 states/eV per atom; magnetization = 0.0 μB/cell
1.0
-3.965 -6.186 -0.487
3.822 -1.980 -5.974
4.887 -3.469 4.277
W S
8 8
Direct
0.366 0.366 0.366
0.366 0.634 0.634
0.634 0.366 0.634
0.634 0.634 0.366
0.866 0.866 0.866
0.866 0.134 0.134
0.134 0.866 0.134
0.134 0.134 0.866
0.179 0.179 0.179
0.179 0.821 0.821
0.821 0.179 0.821
0.821 0.821 0.179
0.679 0.679 0.679
0.679 0.321 0.321
0.321 0.679 0.321
0.321 0.321 0.679

***

## two
WS (GGA-PBE, relaxed); SG = P4/m; D(E_F) = 0.475 states/eV per atom; magnetization = 0.0 μB/cell
1.0
10.922 0.000 0.000
0.000 10.922 0.000
0.000 0.000 3.335
W S
8 8
Direct
0.756 0.424 0.500
0.244 0.576 0.500
0.576 0.756 0.500
0.424 0.244 0.500
0.889 0.551 0.000
0.111 0.449 0.000
0.449 0.889 0.000
0.551 0.111 0.000
0.770 0.648 0.500
0.230 0.352 0.500
0.352 0.770 0.500
0.648 0.230 0.500
0.893 0.336 0.000
0.107 0.664 0.000
0.664 0.893 0.000
0.336 0.107 0.000

***

## three
WS (GGA-PBE, relaxed); SG = P4_2/mnm; D(E_F) = 0.780 states/eV per atom; magnetization = 0.0 μB/cell
1.0
6.132 0.000 0.000
0.000 6.132 0.000
0.000 0.000 4.147
W S
4 4
Direct
0.336 0.336 0.000
0.836 0.164 0.500
0.164 0.836 0.500
0.664 0.664 0.000
0.290 0.710 0.000
0.790 0.790 0.500
0.210 0.210 0.500
0.710 0.290 0.000

***

Of them, three has the lowest stability.

***

## one
YWS2 (GGA-PBE, relaxed); SG = Fm-3m; D(E_F) = 0.693 states/eV per atom; magnetization = 1.0 μB/cell
1.0
3.568 2.634 1.050
-0.080 2.545 3.780
2.670 -1.081 3.532
Y S W
1 2 1
Direct
0.000 0.000 0.000
0.250 0.250 0.250
0.750 0.750 0.750
0.500 0.500 0.500

***

## two
YWS2 (GGA-PBE, relaxed); SG = I-42d; D(E_F) = 0.561 states/eV per atom; magnetization = 0.0 μB/cell
1.0
-2.616 -4.562 -0.121
4.273 -2.497 1.784
-1.173 -2.546 7.002
Y S W
2 4 2
Direct
0.500 0.500 0.000
0.250 0.750 0.500
0.689 0.125 0.250
0.061 0.625 0.250
0.375 0.311 0.750
0.875 0.939 0.750
0.000 0.000 0.000
0.750 0.250 0.500

***

## three
YWS2 (GGA-PBE, relaxed); SG = R-3m; D(E_F) = 1.080 states/eV per atom; magnetization = 0.0 μB/cell
1.0
1.912 0.000 8.623
-0.956 1.656 8.623
-0.956 -1.656 8.623
Y S W
1 2 1
Direct
0.000 0.000 0.000
0.894 0.894 0.894
0.106 0.106 0.106
0.500 0.500 0.500

***

Of them, three has the lowest stability.

***

## one
ZrWS3 (GGA-PBE, relaxed); SG = Pm-3m; D(E_F) = 0.942 states/eV per atom; magnetization = 4.0 μB/cell
1.0
-2.662 -1.188 -3.978
3.850 -2.475 -1.837
-1.554 -4.097 2.264
Zr W S
1 1 3
Direct
0.000 0.000 0.000
0.500 0.500 0.500
0.000 0.500 0.000
0.000 0.000 0.500
0.500 0.000 0.000

***

## two
ZrWS3 (GGA-PBE, relaxed); SG = Pm-3m; D(E_F) = 1.145 states/eV per atom; magnetization = 1.6 μB/cell
1.0
-1.605 2.943 -3.218
-4.339 -1.423 0.863
-0.439 3.303 3.240
S Zr W
3 1 1
Direct
0.000 0.500 0.000
0.000 0.000 0.500
0.500 0.000 0.000
0.500 0.500 0.500
0.000 0.000 0.000

***

Of them, one has the lowest stability.

***

## one
Y2ZnS4 (GGA-PBE, relaxed); SG = Pnma; D(E_F) = 0.000 states/eV per atom; magnetization = 0.0 μB/cell
1.0
-2.846 -1.095 5.562
-5.536 -4.317 -3.683
7.572 -11.144 1.680
Y Zn S
8 4 16
Direct
0.000 0.500 0.000
0.500 0.000 0.500
0.000 0.000 0.000
0.500 0.500 0.500
0.004 0.750 0.266
0.496 0.750 0.766
0.996 0.250 0.734
0.504 0.250 0.234
0.588 0.750 0.092
0.912 0.750 0.592
0.412 0.250 0.908
0.088 0.250 0.408
0.225 0.750 0.091
0.275 0.750 0.591
0.775 0.250 0.909
0.725 0.250 0.409
0.757 0.750 0.431
0.743 0.750 0.931
0.243 0.250 0.569
0.257 0.250 0.069
0.755 0.515 0.168
0.745 0.985 0.668
0.245 0.015 0.832
0.255 0.485 0.332
0.245 0.485 0.832
0.255 0.015 0.332
0.755 0.985 0.168
0.745 0.515 0.668

***

## two
Y2ZnS4 (GGA-PBE, relaxed); SG = Fd-3m; magnetization = 0.0 μB/cell
1.0
-5.420 -3.888 -4.050
-1.722 -7.378 1.870
-6.869 -1.688 3.296
Y Zn S
4 2 8
Direct
0.125 0.625 0.625
0.625 0.125 0.625
0.625 0.625 0.125
0.625 0.625 0.625
0.250 0.250 0.250
0.000 0.000 0.000
0.870 0.377 0.377
0.377 0.870 0.377
0.377 0.377 0.870
0.377 0.377 0.377
0.380 0.873 0.873
0.873 0.380 0.873
0.873 0.873 0.380
0.873 0.873 0.873

***

Of them, two has the lowest stability.